This record from Alexandria describes a relaxed structure of KTeP. The functional is PBE.

abc: 5.491 5.491 3.099
angles: 90.00 90.00 120.00
Fractional coordinates of all 3 atoms:
K: 0.000 0.000 0.000
P: 0.667 0.333 0.499
Te: 0.333 0.667 0.500

Computed properties:
As for the total energy: -9.26 eV/cell. The calculation puts the mass density at 4.057 g/cm³. The formation energy without anion corrections is 0.4 eV per formula unit.

This record from Alexandria describes a relaxed structure of LaTb4Sb5. The functional is PBE.

abc: 4.449 6.297 11.766
angles: 105.52 100.90 90.00
Fractional coordinates of all 10 atoms:
La: 0.000 0.000 0.000
Tb: 0.399 0.399 0.799
Tb: 0.798 0.798 0.595
Tb: 0.202 0.202 0.405
Tb: 0.601 0.601 0.201
Sb: 0.605 0.105 0.209
Sb: 0.801 0.301 0.601
Sb: 0.199 0.699 0.399
Sb: 0.000 0.500 0.000
Sb: 0.395 0.895 0.791

Computed properties:
As for the total energy: -55.71 eV/cell. The calculation puts the mass density at 7.378 g/cm³. The formation energy without anion corrections is -11.7 eV per formula unit.